(1)
A geometry-optimized BaAg3 structure. Source: Alexandria via LeMat-Bulk, functional GGA-PBEsol.

Properties
Final energy   -3.17 eV per atom
Energy above the most stable polymorph in this dataset   8 meV per atom
V   104.8 Å³/cell
M_tot   0.00 μB per cell
Energy of formation from the pure elements   -0.15 eV per atom
Space-group type   R-3m
Crystal system   trigonal

Geometry as POSCAR:
```
BaAg3
1.0
-2.220 0.531 -4.112
-4.679 -0.418 -0.218
-2.824 5.398 -0.468
Ba Ag
1 3
Cartesian
0.000 0.000 0.000 Ba
-7.212 3.312 -3.747 Ag
-4.861 2.755 -2.398 Ag
-2.511 2.198 -1.050 Ag
```


(2)
A geometry-optimized NiSb2O4 structure. Source: Alexandria via LeMat-Bulk, functional GGA-PBEsol.

Properties
Final energy   -6.29 eV per atom
V   404.2 Å³/cell
M_tot   7.96 μB per cell
Space-group type   P4_2/mbc
Formation energy without anion corrections   -7.8 eV per formula unit
Crystal system   tetragonal

Geometry as POSCAR:
```
NiSb2O4
1.0
-5.532 -2.287 -0.251
3.009 -6.925 -3.231
0.944 -3.109 7.543
Ni Sb O
4 8 16
Cartesian
-2.645 -5.178 -1.804 Ni
0.122 -4.034 -1.678 Ni
-0.911 -2.126 3.709 Ni
-3.677 -3.270 3.584 Ni
3.299 -8.377 3.622 Sb
-1.490 -4.862 5.637 Sb
-0.090 -7.459 -1.576 Sb
0.654 -1.658 0.690 Sb
2.323 -5.663 0.391 Sb
1.629 -4.371 3.921 Sb
-0.143 -7.805 2.760 Sb
-1.436 -4.517 1.302 Sb
0.202 -8.355 0.167 O
-1.781 -3.967 3.895 O
1.357 -3.255 -0.249 O
2.596 -6.780 4.560 O
3.067 -7.394 -0.223 O
0.019 -8.403 4.641 O
-1.598 -3.919 -0.580 O
0.886 -2.641 4.535 O
-1.958 -6.922 -1.054 O
1.739 -8.389 2.350 O
-0.552 -2.790 1.836 O
-2.388 -6.543 4.990 O
0.809 -5.779 -0.929 O
-1.027 -9.532 2.225 O
-3.318 -3.933 1.711 O
0.378 -5.400 5.115 O
```


- Which value of final energy does entry 1 give?
  -3.17 eV per atom


- Look up the final energy of the second one.
  -6.29 eV per atom


- What is the formula in the first record?
  BaAg3


Please write out number 1 again, unchanged.
A geometry-optimized BaAg3 structure. Source: Alexandria via LeMat-Bulk, functional GGA-PBEsol.

Properties
Final energy   -3.17 eV per atom
Energy above the most stable polymorph in this dataset   8 meV per atom
V   104.8 Å³/cell
M_tot   0.00 μB per cell
Energy of formation from the pure elements   -0.15 eV per atom
Space-group type   R-3m
Crystal system   trigonal

Geometry as POSCAR:
```
BaAg3
1.0
-2.220 0.531 -4.112
-4.679 -0.418 -0.218
-2.824 5.398 -0.468
Ba Ag
1 3
Cartesian
0.000 0.000 0.000 Ba
-7.212 3.312 -3.747 Ag
-4.861 2.755 -2.398 Ag
-2.511 2.198 -1.050 Ag
```